Here is a PBEsol-optimized structure of SrLiCa2 from Alexandria. Energies are from meta-GGA SCAN.

Values from the calculation:
Space-group type: Imm2, No. 44
Theoretical density (g cm⁻³): 1.9
Formation enthalpy at 0 K (eV/atom): 0.049
Total magnetic moment (μB per formula unit): 0.12
N(E_F) (states/eV/atom): 0.953

a = 4.153 Å, b = 6.198 Å, c = 7.106 Å
α = 115.87°, β = 106.99°, γ = 90.00°
Fractional positions:
1 Ca 0.995 0.995 0.991
2 Li 0.508 0.508 0.015
3 Sr 0.775 0.275 0.550
4 Ca 0.222 0.722 0.444

=====

Here is a PBEsol-optimized structure of SrLiCa from Alexandria. Energies are from meta-GGA SCAN.

Values from the calculation:
Space-group type: I4mm, No. 107
Theoretical density (g cm⁻³): 2.0
Formation enthalpy at 0 K (eV/atom): 0.012
Total magnetic moment (μB per formula unit): 0.16
N(E_F) (states/eV/atom): 0.817

a = 4.086 Å, b = 4.086 Å, c = 7.393 Å
α = 106.04°, β = 106.04°, γ = 90.00°
Fractional positions:
1 Li 0.342 0.342 0.684
2 Sr 0.682 0.682 0.364
3 Ca 0.976 0.976 0.952

=====

Here is a PBEsol-optimized structure of SrLiCa2 from Alexandria. Energies are from meta-GGA SCAN.

Values from the calculation:
Space-group type: P4mm, No. 99
Theoretical density (g cm⁻³): 1.9
Formation enthalpy at 0 K (eV/atom): 0.011
Total magnetic moment (μB per formula unit): 0.02
N(E_F) (states/eV/atom): 0.750

a = 4.109 Å, b = 4.109 Å, c = 9.114 Å
α = 90.00°, β = 90.00°, γ = 90.00°
Fractional positions:
1 Ca 0.000 0.000 0.017
2 Li 0.000 0.000 0.481
3 Sr 0.500 0.500 0.718
4 Ca 0.500 0.500 0.285

=====

Here is a PBEsol-optimized structure of SrLiCa2 from Alexandria. Energies are from meta-GGA SCAN.

Values from the calculation:
Space-group type: Cmmm, No. 65
Theoretical density (g cm⁻³): 1.8
Formation enthalpy at 0 K (eV/atom): 0.127
Total magnetic moment (μB per formula unit): 0.33
N(E_F) (states/eV/atom): 1.063

a = 3.897 Å, b = 6.630 Å, c = 6.630 Å
α = 110.38°, β = 90.00°, γ = 90.00°
Fractional positions:
1 Ca 0.000 0.500 0.000
2 Li 0.500 0.000 0.000
3 Ca 0.000 0.000 0.500
4 Sr 0.500 0.500 0.500

=====

Here is a PBEsol-optimized structure of SrLiCa2 from Alexandria. Energies are from meta-GGA SCAN.

Values from the calculation:
Space-group type: R-3m, No. 166
Theoretical density (g cm⁻³): 1.8
Formation enthalpy at 0 K (eV/atom): 0.086
Total magnetic moment (μB per formula unit): 0.09
N(E_F) (states/eV/atom): 0.879

a = 3.911 Å, b = 3.911 Å, c = 12.141 Å
α = 80.73°, β = 80.73°, γ = 60.00°
Fractional positions:
1 Ca 0.241 0.241 0.278
2 Sr 0.000 0.000 0.000
3 Li 0.500 0.500 0.500
4 Ca 0.759 0.759 0.722

=====

Here is a PBEsol-optimized structure of SrLiCa2 from Alexandria. Energies are from meta-GGA SCAN.

Values from the calculation:
Space-group type: P2/m, No. 10
Theoretical density (g cm⁻³): 1.9
Formation enthalpy at 0 K (eV/atom): 0.072
Total magnetic moment (μB per formula unit): 0.00
N(E_F) (states/eV/atom): 0.895

a = 4.349 Å, b = 5.918 Å, c = 6.088 Å
α = 89.93°, β = 90.00°, γ = 90.00°
Fractional positions:
1 Ca 0.500 0.500 0.000
2 Li 0.500 0.000 0.500
3 Sr 0.000 0.500 0.500
4 Ca 0.000 0.000 0.000

=====

Here is a PBEsol-optimized structure of LiCaTa2 from Alexandria. Energies are from meta-GGA SCAN.

Values from the calculation:
Space-group type: P4/mmm, No. 123
Theoretical density (g cm⁻³): 8.4
Formation enthalpy at 0 K (eV/atom): 0.721
Total magnetic moment (μB per formula unit): 0.00
N(E_F) (states/eV/atom): 1.058

a = 3.862 Å, b = 3.862 Å, c = 5.398 Å
α = 90.00°, β = 90.00°, γ = 90.00°
Fractional positions:
1 Ca 0.500 0.500 0.500
2 Ta 0.000 0.500 0.000
3 Li 0.000 0.000 0.500
4 Ta 0.500 0.000 0.000

=====

Here is a PBEsol-optimized structure of LiCaTa2 from Alexandria. Energies are from meta-GGA SCAN.

Values from the calculation:
Space-group type: Cmmm, No. 65
Theoretical density (g cm⁻³): 8.7
Formation enthalpy at 0 K (eV/atom): 0.705
Total magnetic moment (μB per formula unit): 0.00
N(E_F) (states/eV/atom): 0.712

a = 2.766 Å, b = 2.766 Å, c = 10.784 Å
α = 90.00°, β = 90.00°, γ = 109.10°
Fractional positions:
1 Li 0.500 0.500 0.000
2 Ca 0.500 0.500 0.500
3 Ta 0.000 0.000 0.240
4 Ta 0.000 0.000 0.760

=====

Calculated volume readings, ordered: 155.7; 113.6; 153.8; 160.6; 158.0; 156.7; 80.5; 77.9 Å³/cell